Entry 1:
Si2POs | PBE-GGA | optimized geometry

Unit cell a=4.465 b=4.465 c=4.465 alpha=127.72 beta=127.72 gamma=77.09
Element x y z (fractional)
Si  0.500  0.500  0.000
Si  0.000  0.000  0.000
P  0.750  0.250  0.500
Os  0.250  0.750  0.500

## Properties
formation energy from raw total energies: 0.3540 eV per atom

=====

Entry 2:
Si2POs | PBE-GGA | optimized geometry

Unit cell a=7.070 b=7.070 c=7.070 alpha=25.15 beta=25.15 gamma=25.15
Element x y z (fractional)
P  0.750  0.750  0.750
Si  0.002  0.002  0.002
Os  0.250  0.250  0.250
Si  0.498  0.498  0.498

## Properties
formation energy from raw total energies: 0.0675 eV per atom

=====

Entry 3:
SiP2Os2 | PBE-GGA | optimized geometry

Unit cell a=3.656 b=3.656 c=6.234 alpha=72.95 beta=72.95 gamma=90.00
Element x y z (fractional)
P  0.250  0.750  0.500
Si  0.000  0.000  0.000
Os  0.376  0.376  0.248
P  0.750  0.250  0.500
Os  0.624  0.624  0.752

## Properties
formation energy from raw total energies: 0.1904 eV per atom
energy above the lowest structure with this stoichiometry: 0.000 eV/atom

=====

| no. | VASP energy (eV per cell) |
| --- | --- |
| 1 | -26.1 |
| 2 | -27.2 |
| 3 | -37.8 |